No. 1
Below is crystalline GdDy2Zn at its relaxed geometry, with properties calculated at the PBE-GGA level.

Properties
**SG**: P4/mmm, No. 123
**Polymorph energy (0 for the lowest one)**: 164 meV/atom

a = 5.317 Å, b = 5.317 Å, c = 3.798 Å
α = 90.00°, β = 90.00°, γ = 90.00°
Fractional coordinates of all 4 atoms:
Gd1 0.000 0.000 0.000
Dy1 0.000 0.500 0.500
Dy2 0.500 0.000 0.500
Zn1 0.500 0.500 0.000

---

No. 2
Below is crystalline Gd2DyZn at its relaxed geometry, with properties calculated at the PBE-GGA level.

Properties
**SG**: P4/mmm, No. 123
**Polymorph energy (0 for the lowest one)**: 104 meV/atom

a = 4.757 Å, b = 4.757 Å, c = 4.782 Å
α = 90.00°, β = 90.00°, γ = 90.00°
Fractional coordinates of all 4 atoms:
Gd1 0.000 0.500 0.000
Gd2 0.500 0.000 0.000
Dy1 0.000 0.000 0.500
Zn1 0.500 0.500 0.500

---

No. 3
Below is crystalline Gd2DyZn at its relaxed geometry, with properties calculated at the PBE-GGA level.

Properties
**SG**: P4/mmm, No. 123
**Polymorph energy (0 for the lowest one)**: 0 meV/atom

a = 3.583 Å, b = 3.583 Å, c = 8.668 Å
α = 90.00°, β = 90.00°, γ = 90.00°
Fractional coordinates of all 4 atoms:
Gd1 0.000 0.000 0.209
Gd2 0.000 0.000 0.791
Dy1 0.500 0.500 0.500
Zn1 0.500 0.500 0.000